# CrInCu meta-GGA SCAN PBEsol geometry
# **Volume**: 14.75 Å³ per atom
# **N(E_F)**: 0.506 states/eV/atom
# **Calculated formation energy**: 0.64 eV/atom
# **E**: -65.06 eV for the cell shown
# **SG**: P3m1 (156)
data_CrInCu
_chemical_formula_sum 'Cr1 In1 Cu1'
_cell_length_a 2.8008
_cell_length_b 2.8008
_cell_length_c 6.5118
_cell_angle_alpha 90.00
_cell_angle_beta 90.00
_cell_angle_gamma 120.00
_space_group_name_H-M_alt 'P 1'
_space_group_IT_number 1
_space_group_name_Hall 'P 1'
loop_
_atom_site_label
_atom_site_type_symbol
_atom_site_fract_x
_atom_site_fract_y
_atom_site_fract_z
Cr1 Cr 0.0000 0.0000 0.0000
In1 In 0.3333 0.6667 0.3484
Cu1 Cu 0.6667 0.3333 0.7015